# 1
First-principles (PBE-GGA) data for crystalline PmAlB4 at its relaxed geometry, as listed in OQMD.

Cell lengths 3.114, 3.114, 7.497 Å; angles 90.00, 90.00, 120.00 degrees
Sites, in units of the cell vectors:
1 Pm 0.000 0.000 0.000
2 B 0.333 0.667 0.290
3 B 0.667 0.333 0.290
4 B 0.667 0.333 0.710
5 B 0.333 0.667 0.710
6 Al 0.000 0.000 0.500

Results
total magnetization: 0.0 μB per formula unit
final energy: -36.42 eV per formula unit

# 2
First-principles (PBE-GGA) data for crystalline Sm3U2Be at its relaxed geometry, as listed in OQMD.

Cell lengths 5.242, 5.242, 6.484 Å; angles 90.00, 90.00, 120.00 degrees
Site moments in Bohr magnetons follow the coordinates.
Sites, in units of the cell vectors:
1 Sm 0.667 0.333 0.626  0.08
2 Sm 0.000 0.000 0.000  0.16
3 Sm 0.333 0.667 0.374  0.08
4 U 0.667 0.333 0.102  2.39
5 U 0.333 0.667 0.898  2.39
6 Be 0.000 0.000 0.500  -0.03

Results
total magnetization: 5.8 μB per formula unit
final energy: -36.69 eV per formula unit

# 3
First-principles (PBE-GGA) data for crystalline NbAlPt2 at its relaxed geometry, as listed in OQMD.

Cell lengths 4.475, 4.475, 4.475 Å; angles 60.00, 60.00, 60.00 degrees
Sites, in units of the cell vectors:
1 Pt 0.750 0.750 0.750
2 Pt 0.000 0.000 0.000
3 Nb 0.250 0.250 0.250
4 Al 0.500 0.500 0.500

Results
total magnetization: 0.0 μB per formula unit
final energy: -28.17 eV per formula unit

# 4
First-principles (PBE-GGA) data for crystalline Nd3Sm3Te2Pd at its relaxed geometry, as listed in OQMD.

Cell lengths 8.663, 8.663, 4.046 Å; angles 90.00, 90.00, 120.00 degrees
Sites, in units of the cell vectors:
1 Te 0.667 0.333 0.500
2 Te 0.333 0.667 0.500
3 Nd 0.411 0.000 0.000
4 Nd 0.000 0.411 0.000
5 Nd 0.589 0.589 0.000
6 Sm 0.000 0.754 0.500
7 Sm 0.754 0.000 0.500
8 Sm 0.246 0.246 0.500
9 Pd 0.000 0.000 0.000

Results
total magnetization: 0.0 μB per formula unit
final energy: -47.44 eV per formula unit

# 5
First-principles (PBE-GGA) data for crystalline TbHoZn2Si2 at its relaxed geometry, as listed in OQMD.

Cell lengths 4.135, 4.135, 15.770 Å; angles 90.00, 90.00, 120.00 degrees
Sites, in units of the cell vectors:
1 Si 0.667 0.333 0.380
2 Si 0.333 0.667 0.620
3 Si 0.333 0.667 0.880
4 Si 0.667 0.333 0.120
5 Tb 0.000 0.000 0.500
6 Tb 0.000 0.000 0.000
7 Zn 0.333 0.667 0.136
8 Zn 0.667 0.333 0.636
9 Zn 0.333 0.667 0.364
10 Zn 0.667 0.333 0.864
11 Ho 0.000 0.000 0.750
12 Ho 0.000 0.000 0.250

Results
total magnetization: 0.0 μB per formula unit
final energy: -26.41 eV per formula unit

# 6
First-principles (PBE-GGA) data for crystalline BeGaBiOs at its relaxed geometry, as listed in OQMD.

Cell lengths 4.575, 4.575, 4.575 Å; angles 60.00, 60.00, 60.00 degrees
Sites, in units of the cell vectors:
1 Bi 0.500 0.500 0.500
2 Be 0.750 0.750 0.750
3 Os 0.250 0.250 0.250
4 Ga 0.000 0.000 0.000

Results
total magnetization: 0.0 μB per formula unit
final energy: -19.04 eV per formula unit

# 7
First-principles (PBE-GGA) data for crystalline Tl2AgPdCl6 at its relaxed geometry, as listed in OQMD.

Cell lengths 7.124, 7.124, 7.124 Å; angles 59.96, 59.96, 59.96 degrees
Sites, in units of the cell vectors:
1 Ag 0.500 0.500 0.500
2 Cl 0.759 0.240 0.242
3 Cl 0.242 0.759 0.240
4 Cl 0.760 0.758 0.241
5 Cl 0.241 0.760 0.758
6 Cl 0.758 0.241 0.760
7 Cl 0.240 0.242 0.759
8 Pd 0.000 0.000 0.000
9 Tl 0.750 0.750 0.750
10 Tl 0.250 0.250 0.250

Results
final energy: -30.68 eV per formula unit

# 8
First-principles (PBE-GGA) data for crystalline HoTmGa2Ni4 at its relaxed geometry, as listed in OQMD.

Cell lengths 4.143, 4.143, 8.779 Å; angles 90.00, 90.00, 120.00 degrees
Sites, in units of the cell vectors:
1 Ga 0.667 0.333 0.251
2 Ga 0.667 0.333 0.749
3 Ni 0.333 0.667 0.317
4 Ni 0.333 0.667 0.683
5 Ni 0.000 0.000 0.813
6 Ni 0.000 0.000 0.187
7 Tm 0.000 0.000 0.500
8 Ho 0.333 0.667 0.000

Results
total magnetization: 0.0 μB per formula unit
final energy: -42.04 eV per formula unit

# 9
First-principles (PBE-GGA) data for crystalline ZrB at its relaxed geometry, as listed in OQMD.

Cell lengths 5.192, 6.333, 4.764 Å; angles 90.00, 90.00, 65.81 degrees
Sites, in units of the cell vectors:
1 B 0.314 0.739 0.500
2 B 0.884 0.600 0.000
3 B 0.032 0.304 0.000
4 B 0.453 0.461 0.500
5 B 0.735 0.896 0.000
6 Zr 0.883 0.100 0.500
7 Zr 0.252 0.862 0.000
8 Zr 0.883 0.600 0.500
9 Zr 0.514 0.338 0.000
10 Zr 0.383 0.100 0.500

Results
total magnetization: 0.0 μB per formula unit
final energy: -15.52 eV per formula unit

# 10
First-principles (PBE-GGA) data for crystalline ZnOs at its relaxed geometry, as listed in OQMD.

Cell lengths 4.632, 7.211, 4.445 Å; angles 90.00, 90.00, 71.27 degrees
Sites, in units of the cell vectors:
1 Zn 0.952 0.600 0.500
2 Zn 0.161 0.199 0.500
3 Zn 0.710 0.799 0.000
4 Zn 0.760 0.001 0.500
5 Zn 0.909 0.401 0.000
6 Os 0.356 0.792 0.500
7 Os 0.114 0.007 0.000
8 Os 0.521 0.193 0.000
9 Os 0.548 0.408 0.500
10 Os 0.303 0.600 0.000

Results
total magnetization: 0.0 μB per formula unit
formation enthalpy at 0 K: 0.198 eV/atom

# 11
First-principles (PBE-GGA) data for crystalline HfNpIn at its relaxed geometry, as listed in OQMD.

Cell lengths 4.963, 4.963, 4.963 Å; angles 60.00, 60.00, 60.00 degrees
Site moments in Bohr magnetons follow the coordinates.
Sites, in units of the cell vectors:
1 Hf 0.000 0.000 0.000  0.71
2 In 0.250 0.250 0.250  -0.04
3 Np 0.500 0.500 0.500  4.22

Results
total magnetization: 5.9 μB per formula unit
final energy: -23.25 eV per formula unit

# 12
First-principles (PBE-GGA) data for crystalline Zr4AlSnN2 at its relaxed geometry, as listed in OQMD.

Cell lengths 3.275, 3.275, 14.582 Å; angles 90.00, 90.00, 120.00 degrees
Sites, in units of the cell vectors:
1 Sn 0.667 0.333 0.500
2 Al 0.000 0.000 0.000
3 N 0.333 0.667 0.245
4 N 0.333 0.667 0.755
5 Zr 0.000 0.000 0.334
6 Zr 0.000 0.000 0.666
7 Zr 0.667 0.333 0.842
8 Zr 0.667 0.333 0.158

Results
total magnetization: 0.0 μB per formula unit
final energy: -67.31 eV per formula unit

# 13
First-principles (PBE-GGA) data for crystalline LuCoNiSb at its relaxed geometry, as listed in OQMD.

Cell lengths 4.583, 4.583, 4.583 Å; angles 60.00, 60.00, 60.00 degrees
Site moments in Bohr magnetons follow the coordinates.
Sites, in units of the cell vectors:
1 Sb 0.000 0.000 0.000  0.01
2 Lu 0.250 0.250 0.250  -0.04
3 Co 0.750 0.750 0.750  1.11
4 Ni 0.500 0.500 0.500  0.14

Results
total magnetization: 1.2 μB per formula unit
final energy: -21.49 eV per formula unit

# 14
First-principles (PBE-GGA) data for crystalline Dy2Sc2CI2Br2Cl at its relaxed geometry, as listed in OQMD.

Cell lengths 9.287, 9.287, 7.862 Å; angles 100.87, 100.87, 23.37 degrees
Sites, in units of the cell vectors:
1 Br 0.149 0.149 0.341
2 Br 0.851 0.851 0.659
3 Dy 0.632 0.632 0.069
4 Dy 0.368 0.368 0.931
5 Sc 0.998 0.998 0.192
6 Sc 0.002 0.002 0.808
7 I 0.169 0.169 0.797
8 I 0.831 0.831 0.203
9 Cl 0.500 0.500 0.500
10 C 0.500 0.500 0.000

Results
total magnetization: 0.0 μB per formula unit
final energy: -52.05 eV per formula unit

# 15
First-principles (PBE-GGA) data for crystalline NdNi2B at its relaxed geometry, as listed in OQMD.

Cell lengths 3.011, 6.523, 6.523 Å; angles 26.77, 90.00, 90.00 degrees
Sites, in units of the cell vectors:
1 Ni 0.000 0.153 0.153
2 Ni 0.500 0.781 0.781
3 Nd 0.000 0.435 0.435
4 B 0.500 0.631 0.631

Results
total magnetization: 0.0 μB per formula unit
final energy: -22.13 eV per formula unit

# 16
First-principles (PBE-GGA) data for crystalline UGa3Ni at its relaxed geometry, as listed in OQMD.

Cell lengths 4.062, 4.062, 5.976 Å; angles 109.87, 109.87, 90.00 degrees
Site moments in Bohr magnetons follow the coordinates.
Sites, in units of the cell vectors:
1 Ga 0.750 0.250 0.500  -0.03
2 Ga 0.384 0.384 0.768  -0.01
3 Ga 0.616 0.616 0.232  -0.01
4 Ni 0.250 0.750 0.500  -0.07
5 U 0.000 0.000 0.000  2.18

Results
total magnetization: 2.3 μB per formula unit
final energy: -26.89 eV per formula unit

# 17
First-principles (PBE-GGA) data for crystalline Dy2Zn3Si5 at its relaxed geometry, as listed in OQMD.

Cell lengths 8.099, 8.099, 6.005 Å; angles 106.70, 106.70, 93.04 degrees
Sites, in units of the cell vectors:
1 Si 0.501 0.499 0.250
2 Si 0.499 0.501 0.750
3 Si 0.274 0.041 0.168
4 Si 0.214 0.786 0.750
5 Si 0.774 0.226 0.750
6 Si 0.959 0.726 0.332
7 Si 0.226 0.774 0.250
8 Si 0.041 0.274 0.668
9 Si 0.786 0.214 0.250
10 Si 0.726 0.959 0.832
11 Dy 0.609 0.855 0.208
12 Dy 0.145 0.391 0.292
13 Dy 0.855 0.609 0.708
14 Dy 0.391 0.145 0.792
15 Zn 0.246 0.531 0.905
16 Zn 0.531 0.246 0.405
17 Zn 0.005 0.995 0.750
18 Zn 0.469 0.754 0.595
19 Zn 0.995 0.005 0.250
20 Zn 0.754 0.469 0.095

Results
total magnetization: 0.0 μB per formula unit
final energy: -41.89 eV per formula unit

# 18
First-principles (PBE-GGA) data for crystalline ScTaTlCo at its relaxed geometry, as listed in OQMD.

Cell lengths 4.645, 4.645, 4.645 Å; angles 60.00, 60.00, 60.00 degrees
Site moments in Bohr magnetons follow the coordinates.
Sites, in units of the cell vectors:
1 Ta 0.500 0.500 0.500  0.61
2 Sc 0.250 0.250 0.250  0.55
3 Co 0.750 0.750 0.750  0.55
4 Tl 0.000 0.000 0.000  -0.01

Results
total magnetization: 2.0 μB per formula unit
final energy: -26.19 eV per formula unit

# 19
First-principles (PBE-GGA) data for crystalline ScAgTeO at its relaxed geometry, as listed in OQMD.

Cell lengths 5.724, 5.724, 11.230 Å; angles 90.00, 92.81, 90.00 degrees
Sites, in units of the cell vectors:
1 Ag 0.000 0.840 0.726
2 Ag 0.695 0.600 0.493
3 Ag 0.000 0.340 0.274
4 Ag 0.305 0.100 0.507
5 Sc 0.506 0.322 0.073
6 Sc 0.004 0.819 0.073
7 Sc 0.494 0.822 0.927
8 Sc 0.996 0.319 0.927
9 Te 0.312 0.151 0.742
10 Te 0.688 0.651 0.258
11 Te 0.314 0.033 0.275
12 Te 0.686 0.533 0.725
13 O 0.749 0.068 0.000
14 O 0.248 0.066 0.005
15 O 0.752 0.566 0.995
16 O 0.251 0.568 0.000

Results
total magnetization: 0.0 μB per formula unit
final energy: -23.45 eV per formula unit

# 20
First-principles (PBE-GGA) data for crystalline Dy2Tm3Al3 at its relaxed geometry, as listed in OQMD.

Cell lengths 6.454, 4.920, 6.467 Å; angles 90.00, 102.18, 90.00 degrees
Sites, in units of the cell vectors:
1 Tm 0.912 0.000 0.159
2 Tm 0.121 0.500 0.874
3 Tm 0.622 0.500 0.875
4 Dy 0.635 0.500 0.377
5 Dy 0.333 0.000 0.590
6 Al 0.406 0.000 0.093
7 Al 0.130 0.500 0.370
8 Al 0.841 0.000 0.661

Results
total magnetization: 0.0 μB per formula unit
final energy: -35.81 eV per formula unit